Entry 1:
Density functional theory data (PBE) for a relaxed structure of ErLuCu2.

Properties
- volume (Å³/atom) = 19.89
- M_tot (μB per formula unit) = 0.00
- Fermi-level density of states (states/eV/atom) = 0.58
- DFT total energy (Ry per atom) = -0.3388

Unit cell a=4.8273 b=4.8273 c=4.8273 alpha=60.00 beta=60.00 gamma=60.00
With the nearest neighbours (Å) after each atom.
Sites, in units of the cell vectors:
Cu1 0.2500 0.2500 0.2500  4 Er 2.96, 4 Lu 2.96
Cu2 0.7500 0.7500 0.7500  4 Er 2.96, 4 Lu 2.96
Er1 0.5000 0.5000 0.5000  8 Cu 2.96
Lu1 0.0000 0.0000 0.0000  8 Cu 2.96

***

Entry 2:
Density functional theory data (PBE) for a relaxed structure of ThSc2Cd.

Properties
- volume (Å³/atom) = 25.28
- M_tot (μB per formula unit) = 1.31
- Fermi-level density of states (states/eV/atom) = 1.95
- E above lowest polymorph (eV per atom) = 0.242
- DFT total energy (Ry per atom) = -0.3796

Unit cell a=5.2291 b=5.2291 c=5.2291 alpha=60.00 beta=60.00 gamma=60.00
With the nearest neighbours (Å) after each atom.
Sites, in units of the cell vectors:
Sc1 0.2500 0.2500 0.2500  4 Cd 3.20, 4 Th 3.20
Sc2 0.7500 0.7500 0.7500  4 Cd 3.20, 4 Th 3.20
Cd1 0.0000 0.0000 0.0000  8 Sc 3.20
Th1 0.5000 0.5000 0.5000  8 Sc 3.20

***

Entry 3:
Density functional theory data (PBE) for a relaxed structure of ZnSiP.

Properties
- volume (Å³/atom) = 16.31
- M_tot (μB per formula unit) = 0.00
- Fermi-level density of states (states/eV/atom) = 0.21
- energy relative to the elements, uncorrected (eV/f.u.) = 0.965
- E above lowest polymorph (eV per atom) = 0.457
- DFT total energy (Ry per atom) = -0.2730

Unit cell a=5.0938 b=5.0938 c=5.0938 alpha=142.37 beta=142.37 gamma=54.28
With the nearest neighbours (Å) after each atom.
Sites, in units of the cell vectors:
Zn1 0.6695 0.6695 0.0000  1 P 2.58, 1 Si 2.66
Si1 0.3761 0.3761 0.0000  4 P 2.43, 1 Zn 2.66
P1 0.9544 0.9544 0.0000  4 Si 2.43, 1 Zn 2.58